VASP calculation (GGA-PBE) on an optimized crystal structure of KCu2I2Br.

Cell: 8.8420 5.2446 8.8436 Å, 90.00 105.65 90.00°
Last column: nearest neighbours and their distance in Å.
Space group P2_1/m (No. 11)
Asymmetric unit:
1 K 0.2308 0.2500 0.2686  2 Br 3.58, 6 I 3.67-3.73
2 Cu 0.3276 0.0000 0.8270  2 I 2.59, 2 Cu 2.62, 2 Br 2.63-2.64
3 I 0.0786 0.2500 0.8387  2 Cu 2.59
4 I 0.3394 0.7500 0.5782  2 Cu 2.59
5 Br 0.4042 0.7500 0.0954  4 Cu 2.63-2.64

Output
Formation energy without anion corrections: -3.766 eV/f.u.
ρ: 4.20 Mg/m³
Total moment: 0.0 μB/f.u.
DFT total energy: -2.971 eV per atom

***

VASP calculation (GGA-PBE) on an optimized crystal structure of K3Cu2IBr9.

Cell: 7.5705 7.5705 9.5911 Å, 90.00 90.00 120.00°
Last column: nearest neighbours and their distance in Å.
Space group P-3m1 (No. 164)
Asymmetric unit:
1 K 0.0000 0.0000 0.0000  12 Br 3.78-3.79
2 K 0.3333 0.6667 0.7156  9 Br 3.50-3.80
3 Cu 0.3333 0.6667 0.1524  6 Br 2.54-2.63
4 I 0.0000 0.0000 0.5000  6 Br 2.96
5 Br 0.0000 0.5000 0.0000  2 Cu 2.63
6 Br 0.1777 0.3554 0.3102  1 Cu 2.54

Output
Formation energy without anion corrections: -11.391 eV/f.u.
ρ: 3.80 Mg/m³
Total moment: 0.0 μB/f.u.
DFT total energy: -2.632 eV per atom